{"formula": "TeRhWBr2", "functional": "PBE", "state": "optimized geometry", "e_form_raw_mev_per_atom": 1029, "spacegroup": "No. 123", "magnetic_moment_mub_per_cell": 2.04, "final_energy_ev_per_atom": -4.3296, "lattice_angstrom": [[4.9449, 0.0000, 0.0000], [0.0000, 4.9449, 0.0000], [0.0000, 0.0000, 5.1598]], "species": ["Te", "Rh", "W", "Br", "Br"], "fractional_positions": [[0.0000, 0.0000, 0.0000], [0.5000, 0.5000, 0.5000], [0.5000, 0.5000, 0.0000], [0.0000, 0.5000, 0.5000], [0.5000, 0.0000, 0.5000]]}